# Dy7Cu2Ag2 | Alexandria via LeMat-Bulk | PBE | relaxed
# Energy relative to the elements, eV per atom: 0.025
data_Dy7Cu2Ag2
_symmetry_space_group_name_H-M 'C m m m'
_symmetry_Int_Tables_number 65
_symmetry_space_group_name_Hall '-C 2 2'
_cell_length_a 7.656
_cell_length_b 10.961
_cell_length_c 7.157
_cell_angle_alpha 90.00
_cell_angle_beta 90.00
_cell_angle_gamma 90.00
loop_
_atom_site_label
_atom_site_fract_x
_atom_site_fract_y
_atom_site_fract_z
Dy1 0.000 0.000 0.000
Dy2 0.000 0.500 0.250
Dy3 0.250 0.250 0.262
Cu1 0.000 0.298 0.000
Ag1 0.179 0.000 0.500

---

# PrLuNiRu | Alexandria via LeMat-Bulk | PBE | relaxed
# Energy relative to the elements, eV per atom: -0.282
data_PrLuNiRu
_symmetry_space_group_name_H-M 'F -4 3 m'
_symmetry_Int_Tables_number 216
_symmetry_space_group_name_Hall 'F -4 2 3'
_cell_length_a 6.861
_cell_length_b 6.861
_cell_length_c 6.861
_cell_angle_alpha 90.00
_cell_angle_beta 90.00
_cell_angle_gamma 90.00
loop_
_atom_site_label
_atom_site_fract_x
_atom_site_fract_y
_atom_site_fract_z
Pr1 0.000 0.000 0.000
Lu1 0.000 0.000 0.500
Ni1 0.250 0.250 0.250
Ru1 0.250 0.250 0.750

---

# ScBeAs2 | Alexandria via LeMat-Bulk | PBE | relaxed
# Energy relative to the elements, eV per atom: -0.502
data_ScBeAs2
_symmetry_space_group_name_H-M 'I -4 2 d'
_symmetry_Int_Tables_number 122
_symmetry_space_group_name_Hall 'I -4 2bw'
_cell_length_a 6.603
_cell_length_b 6.603
_cell_length_c 6.518
_cell_angle_alpha 90.00
_cell_angle_beta 90.00
_cell_angle_gamma 90.00
loop_
_atom_site_label
_atom_site_fract_x
_atom_site_fract_y
_atom_site_fract_z
Sc1 0.000 0.000 0.000
Be1 0.000 0.000 0.500
As1 0.190 0.250 0.625

---

# BaLiScPt2 | Alexandria via LeMat-Bulk | PBE | relaxed
# Energy relative to the elements, eV per atom: -0.785
data_BaLiScPt2
_symmetry_space_group_name_H-M 'I -4 m 2'
_symmetry_Int_Tables_number 119
_symmetry_space_group_name_Hall 'I -4 -2'
_cell_length_a 4.361
_cell_length_b 4.361
_cell_length_c 12.034
_cell_angle_alpha 90.00
_cell_angle_beta 90.00
_cell_angle_gamma 90.00
loop_
_atom_site_label
_atom_site_fract_x
_atom_site_fract_y
_atom_site_fract_z
Ba1 0.000 0.000 0.000
Li1 0.000 0.500 0.250
Sc1 0.000 0.500 0.750
Pt1 0.000 0.000 0.383

---

First-principles (PBE) data for a geometry-optimized Tb4BiTe5 structure, as listed in Alexandria via LeMat-Bulk.

```
data_Tb4BiTe5
_symmetry_space_group_name_H-M 'C 1 2/m 1'
_symmetry_Int_Tables_number 12
_cell_length_a 19.201
_cell_length_b 4.363
_cell_length_c 8.968
_cell_angle_alpha 90.00
_cell_angle_beta 105.02
_cell_angle_gamma 90.00
loop_
_symmetry_equiv_pos_as_xyz
'x,y,z'
'-x,-y,-z'
'-x,y,-z'
'x,-y,z'
'x+1/2,y+1/2,z'
'-x+1/2,-y+1/2,-z'
'-x+1/2,y+1/2,-z'
'x+1/2,-y+1/2,z'
loop_
_atom_site_label
_atom_site_fract_x
_atom_site_fract_y
_atom_site_fract_z
Tb1 0.005 0.000 0.262
Tb2 0.174 0.500 0.102
Bi1 0.000 0.500 0.000
Te1 0.000 0.500 0.500
Te2 0.162 0.000 0.846
Te3 0.167 0.000 0.335
```

---

# Sr2ZnIn4Ag3 | Alexandria via LeMat-Bulk | PBE | relaxed
# Energy relative to the elements, eV per atom: -0.271
data_Sr2ZnIn4Ag3
_symmetry_space_group_name_H-M 'P -4 m 2'
_symmetry_Int_Tables_number 115
_cell_length_a 4.673
_cell_length_b 4.673
_cell_length_c 11.797
_cell_angle_alpha 90.00
_cell_angle_beta 90.00
_cell_angle_gamma 90.00
loop_
_symmetry_equiv_pos_as_xyz
'x,y,z'
'y,-x,-z'
'-x,-y,z'
'-y,x,-z'
'-x,y,z'
'-y,-x,-z'
'x,-y,z'
'y,x,-z'
loop_
_atom_site_label
_atom_site_fract_x
_atom_site_fract_y
_atom_site_fract_z
Sr1 0.000 0.500 0.245
Zn1 0.500 0.500 0.000
In1 0.000 0.000 0.500
In2 0.000 0.500 0.872
In3 0.500 0.500 0.500
Ag1 0.000 0.000 0.000
Ag2 0.000 0.500 0.640

---

# Zr2TlAs | Alexandria via LeMat-Bulk | PBE | relaxed
# Relative energy among the computed polymorphs, meV/atom: 124
# Energy relative to the elements, eV per atom: -0.457
data_Zr2TlAs
_symmetry_space_group_name_H-M 'P 4/m m m'
_symmetry_Int_Tables_number 123
_symmetry_space_group_name_Hall '-P 4 2'
_cell_length_a 3.312
_cell_length_b 3.312
_cell_length_c 7.750
_cell_angle_alpha 90.00
_cell_angle_beta 90.00
_cell_angle_gamma 90.00
loop_
_atom_site_label
_atom_site_fract_x
_atom_site_fract_y
_atom_site_fract_z
Zr1 0.000 0.000 0.210
Tl1 0.500 0.500 0.500
As1 0.500 0.500 0.000

---

First-principles (PBE) data for a geometry-optimized RbBe2AuBr structure, as listed in Alexandria via LeMat-Bulk.

```
data_RbBe2AuBr
_symmetry_space_group_name_H-M 'P 4/m m m'
_symmetry_Int_Tables_number 123
_symmetry_space_group_name_Hall '-P 4 2'
_cell_length_a 7.066
_cell_length_b 7.066
_cell_length_c 6.254
_cell_angle_alpha 90.00
_cell_angle_beta 90.00
_cell_angle_gamma 90.00
loop_
_atom_site_label
_atom_site_fract_x
_atom_site_fract_y
_atom_site_fract_z
Rb1 0.000 0.000 0.000
Be1 0.000 0.500 0.000
Au1 0.500 0.500 0.500
Br1 0.000 0.000 0.500
```

---

Number 1: E -4.167 eV per atom. Number 2: E -6.372 eV per atom. Number 3: E -5.341 eV per atom. Number 4: E -5.235 eV per atom. Number 5: E -4.980 eV per atom. Number 6: E -2.686 eV per atom. Number 7: E -6.485 eV per atom. Number 8: E -1.175 eV per atom.